# 1
VASP calculation (PBE) on crystalline AcGa4Au6 at its relaxed geometry.

Computed properties:
The calculation puts the formation energy at -0.3525 eV/atom. The calculation puts the density of states at the Fermi level at 6.44 states/eV per cell. The energy comes out at -3.6143 eV per atom. The magnetization is 0.000 μB per atom.

Cell: 7.1245 7.1245 9.3087 Å, 90.00 90.00 90.00°
Last column: nearest neighbours and their distance in Å.
Space group I-42m (No. 121)
Asymmetric unit:
Ac 0.0000 0.0000 0.0000  8 Ga 3.37-3.75, 8 Au 3.56-3.59
Ga 0.2000 0.2000 0.6604  4 Au 2.47-2.65
Au 0.0000 0.5000 0.0000  4 Au 2.90, 4 Ga 2.97
Au 0.1616 0.1616 0.3788  4 Ga 2.47-2.65

# 2
VASP calculation (PBE) on crystalline MgZrCd2O at its relaxed geometry.

Computed properties:
The value obtained for the uncorrected formation energy is 1.369 eV per atom. The calculation puts the density of states at the Fermi level at 4.21 states/eV per cell. The energy comes out at -2.0168 eV per atom. The magnetization is 0.000 μB per atom.

Cell: 5.6322 5.6322 5.8295 Å, 90.00 90.00 90.00°
Last column: nearest neighbours and their distance in Å.
Space group P4/mmm (No. 123)
Asymmetric unit:
Mg 0.0000 0.0000 0.0000  2 Zr 2.91
Zr 0.0000 0.0000 0.5000  4 Cd 2.82, 2 Mg 2.91
Cd 0.0000 0.5000 0.5000  2 Zr 2.82
O 0.5000 0.5000 0.0000  4 Mg 3.98, 8 Cd 4.05

# 3
VASP calculation (PBE) on crystalline PuTiNbIr at its relaxed geometry.

Computed properties:
The calculation puts the formation energy at -0.1491 eV/atom. The calculation puts the density of states at the Fermi level at 43.92 states/eV per cell. The energy comes out at -10.4385 eV per atom. The magnetization is 1.319 μB per atom.

Cell: 6.5413 6.5413 6.5413 Å, 90.00 90.00 90.00°
Last column: nearest neighbours and their distance in Å.
Space group F-43m (No. 216)
Asymmetric unit:
Pu 0.0000 0.0000 0.0000  4 Nb 2.83, 4 Ti 2.83
Ti 0.2500 0.2500 0.7500  4 Ir 2.83, 4 Pu 2.83
Nb 0.2500 0.2500 0.2500  4 Ir 2.83, 4 Pu 2.83
Ir 0.0000 0.0000 0.5000  4 Nb 2.83, 4 Ti 2.83

# 4
VASP calculation (PBE) on crystalline Tc2PtW at its relaxed geometry.

Computed properties:
The calculation puts the formation energy at -0.0396 eV/atom. The calculation puts the density of states at the Fermi level at 8.19 states/eV per cell. For the distance to the lowest polymorph of the same formula, the calculation gives 125 meV per atom. The energy comes out at -9.9711 eV per atom. The magnetization is 0.000 μB per atom.

Cell: 9.2588 2.7620 4.8120 Å, 90.00 100.00 90.00°
Last column: nearest neighbours and their distance in Å.
Space group Cm (No. 8)
Asymmetric unit:
Tc 0.0000 0.0000 0.0000  5 Tc 2.72-2.76, 4 W 2.73-2.82, 3 Pt 2.82-2.83
Tc 0.2454 0.5000 0.2236  5 Tc 2.72-2.76, 4 Pt 2.75-2.80, 3 W 2.81-2.82
Pt 0.2476 0.0000 0.7310  7 Tc 2.75-2.83, 3 W 2.76-2.78, 2 Pt 2.76
W 0.4969 0.0000 0.4885  7 Tc 2.73-2.82, 3 Pt 2.76-2.78, 2 W 2.76

# 5
VASP calculation (PBE) on crystalline CoPSCl2 at its relaxed geometry.

Computed properties:
The value obtained for the uncorrected formation energy is 1.028 eV per atom. The calculation puts the density of states at the Fermi level at 5.75 states/eV per cell. For the distance to the lowest polymorph of the same formula, the calculation gives 552 meV per atom. The energy comes out at -3.0397 eV per atom. The magnetization is 0.531 μB per atom.

Cell: 4.6393 4.6393 4.9059 Å, 90.00 90.00 90.00°
Last column: nearest neighbours and their distance in Å.
Space group P4/mmm (No. 123)
Asymmetric unit:
Co 0.0000 0.0000 0.0000  4 P 3.28, 8 Cl 3.38
P 0.5000 0.5000 0.0000  2 S 2.45
S 0.5000 0.5000 0.5000  4 Cl 2.32, 2 P 2.45
Cl 0.0000 0.5000 0.5000  2 S 2.32

# 6
VASP calculation (PBE) on crystalline La3YSi2N6 at its relaxed geometry.

Computed properties:
The value obtained for the uncorrected formation energy is -1.130 eV per atom. The calculation puts the density of states at the Fermi level at 1.25 states/eV per cell. The energy comes out at -7.9672 eV per atom. The magnetization is 0.151 μB per atom.

Cell: 5.8939 5.8939 6.5727 Å, 90.00 90.00 120.00°
Last column: nearest neighbours and their distance in Å.
Space group P-3m1 (No. 164)
Asymmetric unit:
La 0.0000 0.0000 0.0000  6 N 2.59
La 0.3333 0.6667 0.6478  9 N 2.88-2.98, 1 Si 2.98
Y 0.0000 0.0000 0.5000  6 N 2.29
Si 0.3333 0.6667 0.1941  3 N 1.71
N 0.1759 0.3518 0.2843  1 Si 1.71